(1)
The following is a DFT calculation (PBE) of a geometry-optimized PaInBiO6 structure.

- Symmetry: No. 163
- Energy relative to the elements, uncorrected: -2048.3 meV/atom

Unit cell a=5.672 b=5.672 c=9.720 alpha=90.00 beta=90.00 gamma=120.00
Element x y z (fractional)
Pa: 0.333 0.667 0.250
Pa: 0.667 0.333 0.750
In: 0.333 0.667 0.750
In: 0.667 0.333 0.250
Bi: 0.000 0.000 0.000
Bi: 0.000 0.000 0.500
O: 0.004 0.341 0.132
O: 0.004 0.662 0.368
O: 0.338 0.341 0.368
O: 0.338 0.996 0.132
O: 0.341 0.004 0.632
O: 0.341 0.338 0.868
O: 0.659 0.662 0.132
O: 0.659 0.996 0.368
O: 0.662 0.004 0.868
O: 0.662 0.659 0.632
O: 0.996 0.338 0.632
O: 0.996 0.659 0.868

=====

(2)
The following is a DFT calculation (PBE) of a geometry-optimized In2BiPbO6 structure.

- Symmetry: No. 146
- Energy relative to the elements, uncorrected: -1267.8 meV/atom

Unit cell a=6.022 b=6.022 c=6.022 alpha=58.27 beta=58.27 gamma=58.27
Element x y z (fractional)
In: 0.000 0.000 0.000
In: 0.497 0.497 0.497
Bi: 0.717 0.717 0.717
Pb: 0.218 0.218 0.218
O: 0.145 0.796 0.363
O: 0.302 0.643 0.864
O: 0.363 0.145 0.796
O: 0.643 0.864 0.302
O: 0.796 0.363 0.145
O: 0.864 0.302 0.643

=====

(3)
The following is a DFT calculation (PBE) of a geometry-optimized InBiPb2O5 structure.

- Symmetry: No. 36
- Energy relative to the elements, uncorrected: -1182.4 meV/atom

Unit cell a=6.959 b=6.959 c=14.594 alpha=90.00 beta=90.00 gamma=150.57
Element x y z (fractional)
In: 0.242 0.758 0.500
In: 0.758 0.242 0.000
Bi: 0.048 0.952 0.912
Bi: 0.952 0.048 0.412
Pb: 0.319 0.681 0.765
Pb: 0.440 0.560 0.119
Pb: 0.560 0.440 0.619
Pb: 0.681 0.319 0.265
O: 0.074 0.926 0.517
O: 0.083 0.917 0.307
O: 0.236 0.764 0.904
O: 0.276 0.724 0.092
O: 0.410 0.590 0.498
O: 0.590 0.410 0.998
O: 0.724 0.276 0.592
O: 0.764 0.236 0.404
O: 0.917 0.083 0.807
O: 0.926 0.074 0.017

=====

(4)
The following is a DFT calculation (PBE) of a geometry-optimized InBiPdO6 structure.

- Symmetry: No. 102
- Energy relative to the elements, uncorrected: -823.8 meV/atom

Unit cell a=4.863 b=4.863 c=9.936 alpha=90.00 beta=90.00 gamma=90.00
Element x y z (fractional)
In: 0.000 0.000 0.000
In: 0.500 0.500 0.500
Bi: 0.000 0.000 0.668
Bi: 0.500 0.500 0.168
Pd: 0.000 0.000 0.335
Pd: 0.500 0.500 0.835
O: 0.185 0.185 0.175
O: 0.186 0.186 0.492
O: 0.204 0.204 0.834
O: 0.296 0.704 0.334
O: 0.314 0.686 0.992
O: 0.315 0.685 0.675
O: 0.685 0.315 0.675
O: 0.686 0.314 0.992
O: 0.704 0.296 0.334
O: 0.796 0.796 0.834
O: 0.814 0.814 0.492
O: 0.815 0.815 0.175

=====

(5)
The following is a DFT calculation (PBE) of a geometry-optimized Pm4InBiO structure.

- Symmetry: No. 63
- Energy relative to the elements, uncorrected: -1195.5 meV/atom

Unit cell a=9.507 b=9.507 c=6.588 alpha=90.00 beta=90.00 gamma=139.04
Element x y z (fractional)
Pm: 0.000 0.500 0.000
Pm: 0.000 0.500 0.500
Pm: 0.065 0.935 0.750
Pm: 0.419 0.581 0.750
Pm: 0.500 0.000 0.000
Pm: 0.500 0.000 0.500
Pm: 0.581 0.419 0.250
Pm: 0.935 0.065 0.250
In: 0.114 0.886 0.250
In: 0.886 0.114 0.750
Bi: 0.390 0.610 0.250
Bi: 0.610 0.390 0.750
O: 0.285 0.715 0.750
O: 0.715 0.285 0.250

=====

(6)
The following is a DFT calculation (PBE) of a geometry-optimized PmIn2BiO6 structure.

- Symmetry: No. 146
- Energy relative to the elements, uncorrected: -1911.2 meV/atom

Unit cell a=6.004 b=6.004 c=6.004 alpha=58.28 beta=58.28 gamma=58.28
Element x y z (fractional)
Pm: 0.000 0.000 0.000
In: 0.276 0.276 0.276
In: 0.779 0.779 0.779
Bi: 0.496 0.496 0.496
O: 0.080 0.651 0.416
O: 0.142 0.575 0.924
O: 0.416 0.080 0.651
O: 0.575 0.924 0.142
O: 0.651 0.416 0.080
O: 0.924 0.142 0.575

=====

Total moment? In order: 0.00 0.07 0.00 0.00 0.00 0.00 μB/atom.